# 1
The following is a PBE calculation of LaTaRuC2 after structural relaxation, from Alexandria.

Energy of formation from the pure elements: 15.14 eV/f.u.
DOS(E_F): 6.1 states/eV/f.u.

Unit cell a=4.093 b=4.093 c=5.817 alpha=90.00 beta=90.00 gamma=90.00
Space group P4/mmm (No. 123)
Symmetry-distinct sites (fractional):
La 0.000 0.000 0.000 (multiplicity 1)
Ta 0.000 0.000 0.500 (multiplicity 1)
Ru 0.500 0.500 0.500 (multiplicity 1)
C 0.000 0.500 0.000 (multiplicity 2)

# 2
The following is a PBE calculation of La2TeRuC after structural relaxation, from Alexandria.

Uncorrected formation energy: -0.658 eV per atom
DOS(E_F): 1.5 states/eV/f.u.

Unit cell a=5.453 b=5.453 c=3.939 alpha=90.00 beta=90.00 gamma=90.00
Space group P4/mmm (No. 123)
Symmetry-distinct sites (fractional):
La 0.000 0.500 0.000 (multiplicity 2)
Te 0.000 0.000 0.500 (multiplicity 1)
Ru 0.500 0.500 0.500 (multiplicity 1)
C 0.500 0.500 0.000 (multiplicity 1)

# 3
The following is a PBE calculation of La2TlRuC after structural relaxation, from Alexandria.

Energy of formation from the pure elements: -1.39 eV/f.u.
DOS(E_F): 3.5 states/eV/f.u.

Unit cell a=5.439 b=5.439 c=3.965 alpha=90.00 beta=90.00 gamma=90.00
Space group P4/mmm (No. 123)
Symmetry-distinct sites (fractional):
La 0.000 0.500 0.000 (multiplicity 2)
Tl 0.000 0.000 0.500 (multiplicity 1)
Ru 0.500 0.500 0.500 (multiplicity 1)
C 0.500 0.500 0.000 (multiplicity 1)

# 4
The following is a PBE calculation of LaRuW2C after structural relaxation, from Alexandria.

Energy of formation from the pure elements: 2.26 eV/f.u.
DOS(E_F): 5.4 states/eV/f.u.

Unit cell a=4.267 b=4.267 c=4.522 alpha=90.00 beta=90.00 gamma=90.00
Space group P4/mmm (No. 123)
Symmetry-distinct sites (fractional):
La 0.000 0.000 0.000 (multiplicity 1)
Ru 0.500 0.500 0.000 (multiplicity 1)
W 0.000 0.500 0.500 (multiplicity 2)
C 0.500 0.500 0.500 (multiplicity 1)

# 5
The following is a PBE calculation of LaZn2Ru2C after structural relaxation, from Alexandria.

Energy of formation from the pure elements: -1.65 eV/f.u.
DOS(E_F): 4.0 states/eV/f.u.

Unit cell a=4.136 b=4.136 c=5.660 alpha=90.00 beta=90.00 gamma=90.00
Space group P4/mmm (No. 123)
Symmetry-distinct sites (fractional):
La 0.000 0.000 0.000 (multiplicity 1)
Zn 0.500 0.500 0.222 (multiplicity 2)
Ru 0.000 0.500 0.500 (multiplicity 2)
C 0.000 0.000 0.500 (multiplicity 1)

# 6
The following is a PBE calculation of La2ZnRuC after structural relaxation, from Alexandria.

Energy of formation from the pure elements: -1.36 eV/f.u.
DOS(E_F): 2.9 states/eV/f.u.

Unit cell a=5.330 b=5.330 c=3.921 alpha=90.00 beta=90.00 gamma=90.00
Space group P4/mmm (No. 123)
Symmetry-distinct sites (fractional):
La 0.000 0.500 0.000 (multiplicity 2)
Zn 0.000 0.000 0.500 (multiplicity 1)
Ru 0.500 0.500 0.500 (multiplicity 1)
C 0.500 0.500 0.000 (multiplicity 1)

# 7
The following is a PBE calculation of La2Zn2Ru2C after structural relaxation, from Alexandria.

Energy of formation from the pure elements: -1.96 eV/f.u.
DOS(E_F): 4.4 states/eV/f.u.

Unit cell a=10.989 b=4.114 c=7.571 alpha=90.00 beta=126.80 gamma=90.00
Space group C2/m (No. 12)
Symmetry-distinct sites (fractional):
La 0.065 0.000 0.287 (multiplicity 4)
Zn 0.142 0.500 0.682 (multiplicity 4)
Ru 0.195 0.500 0.067 (multiplicity 4)
C 0.000 0.500 0.000 (multiplicity 2)

# 8
The following is a PBE calculation of LaC2S2 after structural relaxation, from Alexandria.

Uncorrected formation energy: 0.789 eV per atom
DOS(E_F): 2.2 states/eV/f.u.

Unit cell a=4.090 b=4.090 c=8.871 alpha=90.00 beta=90.00 gamma=90.00
Space group I4/mmm (No. 139)
Symmetry-distinct sites (fractional):
La 0.000 0.000 0.000 (multiplicity 2)
C 0.000 0.500 0.250 (multiplicity 4)
S 0.000 0.000 0.302 (multiplicity 4)